1.
Compound: CePrY2As4
Source: Alexandria via LeMat-Bulk
Functional: PBE
Structure: optimized geometry

Cell: 4.197 7.252 7.272 Å, 70.54 90.00 90.00°
Positions (direct):
As  0.500  0.756  0.252
As  0.000  0.758  0.743
As  0.500  0.244  0.748
As  0.000  0.242  0.257
Ce  0.000  0.500  0.500
Y  0.500  0.000  0.500
Y  0.000  0.000  0.000
Pr  0.500  0.500  0.000

## Properties
Final energy: -6.789 eV per atom
SG: P2/m, No. 10



2.
Compound: Ce3PrY2As6
Source: Alexandria via LeMat-Bulk
Functional: PBE
Structure: optimized geometry

Cell: 7.282 7.282 7.272 Å, 99.62 99.62 120.00°
Positions (direct):
As  0.744  0.744  0.249
As  0.577  0.916  0.749
As  0.256  0.256  0.751
As  0.916  0.577  0.749
As  0.423  0.084  0.251
As  0.084  0.423  0.251
Y  0.333  0.667  0.000
Y  0.667  0.333  0.000
Ce  0.500  0.500  0.500
Ce  0.835  0.165  0.500
Ce  0.165  0.835  0.500
Pr  0.000  0.000  0.000

## Properties
Final energy: -6.765 eV per atom
SG: C2/m, No. 12



3.
Compound: CePr2YAs4
Source: Alexandria via LeMat-Bulk
Functional: PBE
Structure: optimized geometry

Cell: 4.239 7.330 7.347 Å, 109.40 90.00 90.00°
Positions (direct):
Pr  0.000  0.500  0.500
Pr  0.500  0.000  0.500
As  0.500  0.246  0.239
As  0.500  0.754  0.761
As  0.000  0.252  0.760
As  0.000  0.748  0.240
Y  0.000  0.000  0.000
Ce  0.500  0.500  0.000

## Properties
Final energy: -6.566 eV per atom
SG: P2/m, No. 10



4.
Compound: CePr3Y2As6
Source: Alexandria via LeMat-Bulk
Functional: PBE
Structure: optimized geometry

Cell: 7.323 7.323 7.337 Å, 99.58 99.58 119.99°
Positions (direct):
Pr  0.167  0.833  0.500
Pr  0.833  0.167  0.500
Pr  0.500  0.500  0.500
As  0.920  0.587  0.760
As  0.587  0.920  0.760
As  0.080  0.413  0.240
As  0.413  0.080  0.240
As  0.746  0.746  0.239
As  0.254  0.254  0.761
Y  0.667  0.333  0.000
Y  0.333  0.667  0.000
Ce  0.000  0.000  0.000

## Properties
Final energy: -6.600 eV per atom
SG: C2/m, No. 12



5.
Compound: Ce2PrY3As6
Source: Alexandria via LeMat-Bulk
Functional: PBE
Structure: optimized geometry

Cell: 7.257 7.257 7.238 Å, 99.62 99.62 119.99°
Positions (direct):
As  0.085  0.423  0.255
As  0.253  0.253  0.744
As  0.577  0.915  0.745
As  0.423  0.085  0.255
As  0.915  0.577  0.745
As  0.747  0.747  0.256
Ce  0.333  0.667  0.000
Ce  0.667  0.333  0.000
Y  0.165  0.835  0.500
Y  0.835  0.165  0.500
Y  0.500  0.500  0.500
Pr  0.000  0.000  0.000

## Properties
Final energy: -6.834 eV per atom
SG: C2/m, No. 12



6.
Compound: CePr2ZrAs4
Source: Alexandria via LeMat-Bulk
Functional: PBE
Structure: optimized geometry

Cell: 4.161 7.201 7.227 Å, 109.22 90.00 90.00°
Positions (direct):
Zr  0.000  0.000  0.000
Pr  0.000  0.500  0.500
Pr  0.500  0.000  0.500
As  0.000  0.245  0.766
As  0.000  0.755  0.234
As  0.500  0.766  0.771
As  0.500  0.234  0.229
Ce  0.500  0.500  0.000

## Properties
Final energy: -6.702 eV per atom
SG: P2/m, No. 10



7.
Compound: Ce2PrZrAs4
Source: Alexandria via LeMat-Bulk
Functional: PBE
Structure: optimized geometry

Cell: 4.141 7.175 7.186 Å, 70.68 90.00 90.00°
Positions (direct):
Ce  0.500  0.000  0.500
Ce  0.000  0.000  0.000
Pr  0.500  0.500  0.000
As  0.000  0.253  0.264
As  0.000  0.747  0.736
As  0.500  0.262  0.733
As  0.500  0.738  0.267
Zr  0.000  0.500  0.500

## Properties
Final energy: -6.828 eV per atom
SG: P2/m, No. 10



8.
Compound: CeAs3Pt
Source: Alexandria via LeMat-Bulk
Functional: PBE
Structure: optimized geometry

Cell: 5.770 5.869 12.106 Å, 90.00 90.00 90.00°
Positions (direct):
As  0.750  0.380  0.928
As  0.500  0.250  0.499
As  0.250  0.014  0.246
As  0.250  0.120  0.928
As  0.000  0.750  0.501
As  0.250  0.514  0.754
As  0.000  0.250  0.499
As  0.750  0.880  0.072
As  0.750  0.486  0.246
As  0.750  0.986  0.754
As  0.500  0.750  0.501
As  0.250  0.620  0.072
Ce  0.750  0.996  0.311
Ce  0.250  0.504  0.311
Ce  0.750  0.496  0.689
Ce  0.250  0.004  0.689
Pt  0.500  0.750  0.911
Pt  0.500  0.250  0.089
Pt  0.000  0.750  0.911
Pt  0.000  0.250  0.089

## Properties
Final energy: -5.904 eV per atom
SG: Pbcm, No. 57



9.
Compound: Ce2AsPt6
Source: Alexandria via LeMat-Bulk
Functional: PBE
Structure: optimized geometry

Cell: 5.671 5.663 6.315 Å, 77.99 90.00 120.05°
Positions (direct):
Pt  0.877  0.754  0.695
Pt  0.123  0.246  0.305
Pt  0.608  0.728  0.315
Pt  0.120  0.728  0.315
Pt  0.392  0.272  0.685
Pt  0.880  0.272  0.685
Ce  0.359  0.718  0.850
Ce  0.641  0.282  0.150
As  0.000  0.000  0.000

## Properties
Final energy: -6.723 eV per atom
SG: C2/m, No. 12



10.
Compound: CeAsPt
Source: Alexandria via LeMat-Bulk
Functional: PBE
Structure: optimized geometry

Cell: 4.746 4.746 7.927 Å, 72.58 72.58 60.00°
Positions (direct):
Ce  0.584  0.584  0.248
Ce  0.416  0.416  0.752
Pt  0.173  0.173  0.480
Pt  0.827  0.827  0.520
As  0.715  0.715  0.856
As  0.285  0.285  0.144

## Properties
Final energy: -6.323 eV per atom
SG: R-3m, No. 166



11.
Compound: CeAsPt
Source: Alexandria via LeMat-Bulk
Functional: PBE
Structure: optimized geometry

Cell: 3.464 3.464 7.200 Å, 103.92 103.92 90.00°
Positions (direct):
Pt  0.093  0.093  0.185
As  0.274  0.274  0.548
Ce  0.483  0.483  0.967

## Properties
Final energy: -5.873 eV per atom
SG: I4mm, No. 107



12.
Compound: Ce2AsPt
Source: Alexandria via LeMat-Bulk
Functional: PBE
Structure: optimized geometry

Cell: 4.091 4.091 7.536 Å, 74.25 74.25 60.00°
Positions (direct):
Pt  0.000  0.000  0.000
As  0.500  0.500  0.500
Ce  0.748  0.748  0.757
Ce  0.252  0.252  0.243

## Properties
Energy relative to the lowest polymorph listed for this composition: 0.21 eV per formula unit
Final energy: -6.772 eV per atom
SG: R-3m, No. 166



13.
Compound: Ce2AsPt
Source: Alexandria via LeMat-Bulk
Functional: PBE
Structure: optimized geometry

Cell: 4.286 4.026 11.827 Å, 99.80 90.00 90.00°
Positions (direct):
Ce  0.750  0.683  0.366
Ce  0.250  0.064  0.128
Ce  0.250  0.317  0.634
Ce  0.750  0.936  0.872
Pt  0.750  0.546  0.091
Pt  0.250  0.454  0.909
As  0.750  0.810  0.620
As  0.250  0.190  0.380

## Properties
Energy relative to the lowest polymorph listed for this composition: 0.00 eV per formula unit
Final energy: -6.824 eV per atom
SG: Cmcm, No. 63



14.
Compound: CeAs2Pt4
Source: Alexandria via LeMat-Bulk
Functional: PBE
Structure: optimized geometry

Cell: 4.077 7.875 7.875 Å, 90.00 90.00 90.00°
Positions (direct):
As  0.500  0.713  0.713
As  0.000  0.787  0.213
As  0.000  0.213  0.787
As  0.500  0.287  0.287
Pt  0.000  0.903  0.655
Pt  0.500  0.597  0.155
Pt  0.500  0.155  0.597
Pt  0.000  0.097  0.345
Pt  0.500  0.403  0.845
Pt  0.000  0.345  0.097
Pt  0.000  0.655  0.903
Pt  0.500  0.845  0.403
Ce  0.000  0.500  0.500
Ce  0.500  0.000  0.000

## Properties
Final energy: -6.273 eV per atom
SG: P4_2/mnm, No. 136



15.
Compound: Ce2AsPt
Source: Alexandria via LeMat-Bulk
Functional: PBE
Structure: optimized geometry

Cell: 4.043 4.043 7.720 Å, 74.82 74.82 60.00°
Positions (direct):
As  0.667  0.667  0.999
Ce  0.251  0.251  0.248
Ce  0.083  0.083  0.751
Pt  0.499  0.499  0.502

## Properties
Energy relative to the lowest polymorph listed for this composition: 0.49 eV per formula unit
Final energy: -6.701 eV per atom
SG: R3m, No. 160



16.
Compound: CeAs2Pt
Source: Alexandria via LeMat-Bulk
Functional: PBE
Structure: optimized geometry

Cell: 3.916 3.916 8.395 Å, 76.51 76.51 60.00°
Positions (direct):
Pt  0.500  0.500  0.500
As  0.880  0.880  0.360
As  0.120  0.120  0.640
Ce  0.000  0.000  0.000

## Properties
Final energy: -5.450 eV per atom
SG: R-3m, No. 166



17.
Compound: Ce3As12Pt5
Source: Alexandria via LeMat-Bulk
Functional: PBE
Structure: optimized geometry

Cell: 13.466 13.466 13.466 Å, 109.47 109.47 109.47°
Positions (direct):
As  0.970  0.573  0.182
As  0.318  0.530  0.427
As  0.470  0.788  0.898
As  0.530  0.318  0.927
As  0.927  0.110  0.898
As  0.427  0.398  0.610
As  0.102  0.390  0.073
As  0.390  0.288  0.318
As  0.390  0.102  0.573
As  0.788  0.318  0.890
As  0.530  0.212  0.102
As  0.427  0.030  0.318
As  0.610  0.898  0.427
As  0.470  0.682  0.073
As  0.788  0.470  0.398
As  0.890  0.818  0.788
As  0.288  0.898  0.970
As  0.030  0.427  0.818
As  0.712  0.610  0.182
As  0.102  0.712  0.530
As  0.927  0.818  0.530
As  0.110  0.927  0.398
As  0.898  0.288  0.470
As  0.818  0.927  0.030
As  0.030  0.602  0.712
As  0.398  0.970  0.788
As  0.682  0.470  0.573
As  0.318  0.788  0.390
As  0.573  0.602  0.390
As  0.073  0.182  0.470
As  0.288  0.390  0.818
As  0.182  0.110  0.712
As  0.212  0.682  0.110
As  0.970  0.398  0.288
As  0.890  0.073  0.602
As  0.110  0.182  0.212
As  0.182  0.073  0.970
As  0.712  0.102  0.030
As  0.682  0.212  0.610
As  0.610  0.712  0.682
As  0.573  0.970  0.682
As  0.898  0.610  0.927
As  0.818  0.890  0.288
As  0.212  0.530  0.602
As  0.602  0.573  0.890
As  0.398  0.427  0.110
As  0.073  0.890  0.102
As  0.602  0.030  0.212
Ce  0.250  0.625  0.875
Ce  0.625  0.250  0.375
Ce  0.375  0.625  0.250
Ce  0.125  0.875  0.750
Ce  0.875  0.125  0.250
Ce  0.750  0.375  0.125
Ce  0.750  0.875  0.625
Ce  0.375  0.750  0.625
Ce  0.125  0.250  0.875
Ce  0.875  0.750  0.125
Ce  0.625  0.375  0.750
Ce  0.250  0.125  0.375
Pt  0.625  0.750  0.875
Pt  0.500  0.500  0.500
Pt  0.625  0.875  0.250
Pt  0.000  0.000  0.000
Pt  0.000  0.500  0.500
Pt  0.875  0.625  0.750
Pt  0.500  0.000  0.500
Pt  0.125  0.375  0.250
Pt  0.500  0.000  0.000
Pt  0.750  0.125  0.875
Pt  0.125  0.750  0.375
Pt  0.375  0.250  0.125
Pt  0.750  0.625  0.375
Pt  0.250  0.875  0.125
Pt  0.500  0.500  0.000
Pt  0.000  0.500  0.000
Pt  0.000  0.000  0.500
Pt  0.250  0.375  0.625
Pt  0.875  0.250  0.625
Pt  0.375  0.125  0.750

## Properties
Final energy: -5.550 eV per atom
SG: Ia-3d, No. 230



18.
Compound: CePuAs2Pt2
Source: Alexandria via LeMat-Bulk
Functional: PBE
Structure: optimized geometry

Cell: 4.323 4.323 7.882 Å, 90.00 90.00 120.00°
Positions (direct):
Pt  0.667  0.333  0.764
Pt  0.333  0.667  0.236
Pu  0.000  0.000  0.500
Ce  0.000  0.000  0.000
As  0.333  0.667  0.732
As  0.667  0.333  0.268

## Properties
Final energy: -8.002 eV per atom
SG: P-3m1, No. 164



19.
Compound: RbCeAs2Pt2
Source: Alexandria via LeMat-Bulk
Functional: PBE
Structure: optimized geometry

Cell: 4.279 4.279 9.563 Å, 90.00 90.00 120.00°
Positions (direct):
Pt  0.333  0.667  0.313
Pt  0.667  0.333  0.687
As  0.667  0.333  0.275
As  0.333  0.667  0.725
Rb  0.000  0.000  0.000
Ce  0.000  0.000  0.500

## Properties
Final energy: -5.585 eV per atom
SG: P-3m1, No. 164



20.
Compound: Ce2As3PtRh4
Source: Alexandria via LeMat-Bulk
Functional: PBE
Structure: optimized geometry

Cell: 4.002 4.002 11.385 Å, 90.00 90.00 90.00°
Positions (direct):
As  0.500  0.000  0.874
As  0.000  0.500  0.126
As  0.000  0.000  0.500
Rh  0.500  0.500  0.000
Rh  0.000  0.500  0.334
Rh  0.000  0.000  0.000
Rh  0.500  0.000  0.666
Ce  0.000  0.500  0.737
Ce  0.500  0.000  0.263
Pt  0.500  0.500  0.500

## Properties
Final energy: -6.991 eV per atom
SG: P-4m2, No. 115